No. 1
SmScHgRu: relaxed, PBE.

Computed properties:
The value obtained for the magnetization is 0.00 μB/f.u. The calculation puts the energy relative to the lowest polymorph listed for this composition at 0 meV per atom. Its formation energy is -0.454 eV per atom.

```
data_SmScHgRu
_chemical_formula_sum 'Sm1 Sc1 Hg1 Ru1'
_cell_length_a 3.413
_cell_length_b 3.413
_cell_length_c 7.397
_cell_angle_alpha 90.00
_cell_angle_beta 90.00
_cell_angle_gamma 90.00
_space_group_name_H-M_alt 'P 4 m m'
_space_group_IT_number 99
_space_group_name_Hall 'P 4 -2'
loop_
_atom_site_label
_atom_site_type_symbol
_atom_site_fract_x
_atom_site_fract_y
_atom_site_fract_z
Sm1 Sm 0.000 0.000 0.000
Sc1 Sc 0.000 0.000 0.561
Hg1 Hg 0.500 0.500 0.311
Ru1 Ru 0.500 0.500 0.756
```

No. 2
PmY4: relaxed, PBE.

Computed properties:
The value obtained for the magnetization is 0.00 μB/f.u. The calculation puts the energy relative to the lowest polymorph listed for this composition at 0 meV per atom. Its formation energy is 0.019 eV per atom.

```
data_PmY4
_chemical_formula_sum 'Pm2 Y8'
_cell_length_a 6.216
_cell_length_b 3.591
_cell_length_c 14.730
_cell_angle_alpha 90.00
_cell_angle_beta 97.96
_cell_angle_gamma 90.00
_space_group_name_H-M_alt 'C 1 2/m 1'
_space_group_IT_number 12
_space_group_name_Hall '-C 2y'
loop_
_atom_site_label
_atom_site_type_symbol
_atom_site_fract_x
_atom_site_fract_y
_atom_site_fract_z
Pm1 Pm 0.000 0.000 0.000
Y1 Y 0.100 0.500 0.798
Y2 Y 0.200 0.000 0.600
```

No. 3
CePr2ScSb4: relaxed, PBE.

Computed properties:
The value obtained for the magnetization is 0.63 μB/f.u. As for the uncorrected formation energy: -1.07 eV/atom.

```
data_CePr2ScSb4
_chemical_formula_sum 'Ce1 Pr2 Sc1 Sb4'
_cell_length_a 7.686
_cell_length_b 4.454
_cell_length_c 7.712
_cell_angle_alpha 90.00
_cell_angle_beta 109.45
_cell_angle_gamma 90.00
_space_group_name_H-M_alt 'P 1 2/m 1'
_space_group_IT_number 10
_space_group_name_Hall '-P 2y'
loop_
_atom_site_label
_atom_site_type_symbol
_atom_site_fract_x
_atom_site_fract_y
_atom_site_fract_z
Ce1 Ce 0.000 0.000 0.000
Pr1 Pr 0.000 0.500 0.500
Pr2 Pr 0.500 0.000 0.500
Sc1 Sc 0.500 0.500 0.000
Sb1 Sb 0.255 0.500 0.237
Sb2 Sb 0.265 0.000 0.769
```

No. 4
Ba2CuSe2F: relaxed, PBE.

Computed properties:
The value obtained for the magnetization is 0.00 μB/f.u. As for the uncorrected formation energy: -0.78 eV/atom.

```
data_Ba2CuSe2F
_chemical_formula_sum 'Ba2 Cu1 Se2 F1'
_cell_length_a 4.709
_cell_length_b 4.709
_cell_length_c 15.230
_cell_angle_alpha 90.00
_cell_angle_beta 90.00
_cell_angle_gamma 90.00
_space_group_name_H-M_alt 'P 4/m m m'
_space_group_IT_number 123
_space_group_name_Hall '-P 4 2'
loop_
_atom_site_label
_atom_site_type_symbol
_atom_site_fract_x
_atom_site_fract_y
_atom_site_fract_z
Ba1 Ba 0.000 0.000 0.164
Cu1 Cu 0.000 0.000 0.500
Se1 Se 0.000 0.000 0.355
F1 F 0.000 0.000 0.000
```

No. 5
HfZr4Pa3N8: relaxed, PBE.

Computed properties:
The value obtained for the magnetization is 0.00 μB/f.u. As for the uncorrected formation energy: -1.67 eV/atom.

```
data_HfZr4Pa3N8
_chemical_formula_sum 'Hf3 Zr12 Pa9 N24'
_cell_length_a 6.7125
_cell_length_b 6.7125
_cell_length_c 16.3789
_cell_angle_alpha 90.00
_cell_angle_beta 90.00
_cell_angle_gamma 120.00
_space_group_name_H-M_alt 'R -3 m'
_space_group_IT_number 166
_space_group_name_Hall '-R 3 2"'
loop_
_atom_site_label
_atom_site_type_symbol
_atom_site_fract_x
_atom_site_fract_y
_atom_site_fract_z
Hf1 Hf 0.0000 0.0000 0.0000
Zr1 Zr 0.0000 0.0000 0.5000
Zr2 Zr 0.0000 0.5000 0.5000
Pa1 Pa 0.0000 0.5000 0.0000
N1 N 0.0000 0.0000 0.2446
N2 N 0.0130 0.5065 0.7503
```

No. 6
Ga4CuAg4: relaxed, PBE.

Computed properties:
The value obtained for the magnetization is 0.00 μB/f.u. Its formation energy is 0.028 eV per atom.

```
data_Ga4CuAg4
_chemical_formula_sum 'Ga8 Cu2 Ag8'
_cell_length_a 8.870
_cell_length_b 8.870
_cell_length_c 3.900
_cell_angle_alpha 90.00
_cell_angle_beta 90.00
_cell_angle_gamma 90.00
_space_group_name_H-M_alt 'I 4/m m m'
_space_group_IT_number 139
_space_group_name_Hall '-I 4 2'
loop_
_atom_site_label
_atom_site_type_symbol
_atom_site_fract_x
_atom_site_fract_y
_atom_site_fract_z
Ga1 Ga 0.000 0.330 0.000
Cu1 Cu 0.000 0.000 0.000
Ag1 Ag 0.163 0.163 0.500
```